## w
! Pr2Al3Zn5 PBE relaxed; values from VASP
! Magnetization   0.0 μB per formula unit
! Space-group type   P-4m2 (115)
&SYSTEM
  ibrav = 0, nat = 10, ntyp = 3
/
ATOMIC_SPECIES
Pr 140.91 Pr.upf
Al 26.98 Al.upf
Zn 65.41 Zn.upf
CELL_PARAMETERS angstrom
4.320 0.000 0.000
0.000 4.320 0.000
0.000 0.000 10.604
ATOMIC_POSITIONS angstrom
Pr 0.000 2.160 2.608
Pr 2.160 0.000 7.996
Al 0.000 2.160 6.820
Al 2.160 0.000 3.784
Al 2.160 2.160 5.302
Zn 0.000 0.000 0.000
Zn 0.000 0.000 5.302
Zn 0.000 2.160 9.290
Zn 2.160 0.000 1.313
Zn 2.160 2.160 0.000


## x
! Pr2Al3Zn5 PBE relaxed; values from VASP
! Magnetization   0.0 μB per formula unit
! Space-group type   Ibam (72)
&SYSTEM
  ibrav = 0, nat = 20, ntyp = 3
/
ATOMIC_SPECIES
Pr 140.91 Pr.upf
Al 26.98 Al.upf
Zn 65.41 Zn.upf
CELL_PARAMETERS angstrom
-5.349 6.060 3.032
5.349 -6.060 3.032
5.349 6.060 -3.032
ATOMIC_POSITIONS angstrom
Pr 2.626 1.512 0.000
Pr 2.626 -1.512 3.032
Pr 2.723 7.572 0.000
Pr 2.723 4.549 3.032
Al 3.972 -4.496 3.032
Al 5.349 0.000 1.516
Al 3.972 4.496 0.000
Al 1.377 1.564 3.032
Al 0.000 6.060 1.516
Al 1.377 10.556 0.000
Zn 5.349 -2.918 1.516
Zn 6.832 1.499 0.000
Zn 0.000 0.000 1.516
Zn 1.483 4.561 0.000
Zn 5.349 2.918 1.516
Zn 0.000 3.143 1.516
Zn 3.866 1.499 3.032
Zn 0.000 0.000 4.549
Zn -1.483 4.561 3.032
Zn 0.000 8.978 1.516


Which one sits at the bottom of the stability order? w does.


## w
! PrZrAl2 PBE relaxed; values from VASP
! Magnetization   0.2 μB per formula unit
! Space-group type   P4/mmm (123)
&SYSTEM
  ibrav = 0, nat = 4, ntyp = 3
/
ATOMIC_SPECIES
Pr 140.91 Pr.upf
Zr 91.22 Zr.upf
Al 26.98 Al.upf
CELL_PARAMETERS angstrom
3.677 0.000 0.000
0.000 3.677 0.000
0.000 0.000 6.753
ATOMIC_POSITIONS angstrom
Pr 0.000 0.000 0.000
Zr 0.000 0.000 3.377
Al 1.839 1.839 2.005
Al 1.839 1.839 4.748


## x
! PrZrAl2 PBE relaxed; values from VASP
! Magnetization   0.0 μB per formula unit
! Space-group type   R-3m (166)
&SYSTEM
  ibrav = 0, nat = 4, ntyp = 3
/
ATOMIC_SPECIES
Pr 140.91 Pr.upf
Zr 91.22 Zr.upf
Al 26.98 Al.upf
CELL_PARAMETERS angstrom
1.774 1.024 8.909
-1.774 1.024 8.909
0.000 -2.048 8.909
ATOMIC_POSITIONS angstrom
Pr 0.000 0.000 0.000
Zr 0.000 0.000 13.363
Al 0.000 0.000 6.490
Al 0.000 0.000 20.236


Which one sits at the bottom of the stability order? x does.


## w
! PrZrAl PBE relaxed; values from VASP
! Magnetization   0.0 μB per formula unit
! Space-group type   P-62m (189)
&SYSTEM
  ibrav = 0, nat = 9, ntyp = 3
/
ATOMIC_SPECIES
Pr 140.91 Pr.upf
Zr 91.22 Zr.upf
Al 26.98 Al.upf
CELL_PARAMETERS angstrom
7.617 0.000 0.000
-3.808 6.596 0.000
0.000 0.000 4.642
ATOMIC_POSITIONS angstrom
Pr -2.202 3.814 0.000
Pr 1.606 2.782 0.000
Pr 4.404 0.000 0.000
Zr -0.879 1.523 2.321
Zr 1.759 0.000 2.321
Zr 2.929 5.073 2.321
Al 0.000 0.000 0.000
Al 0.000 4.397 2.321
Al 3.808 2.199 2.321


## x
! PrZrAl PBE relaxed; values from VASP
! Magnetization   0.0 μB per formula unit
! Space-group type   P-6m2 (187)
&SYSTEM
  ibrav = 0, nat = 3, ntyp = 3
/
ATOMIC_SPECIES
Pr 140.91 Pr.upf
Zr 91.22 Zr.upf
Al 26.98 Al.upf
CELL_PARAMETERS angstrom
5.134 0.000 0.000
-2.567 4.446 0.000
0.000 0.000 3.104
ATOMIC_POSITIONS angstrom
Pr 0.000 0.000 0.000
Zr 0.000 2.964 0.000
Al 2.567 1.482 1.552


## y
! PrZrAl PBE relaxed; values from VASP
! Magnetization   0.0 μB per formula unit
! Space-group type   I4mm (107)
&SYSTEM
  ibrav = 0, nat = 3, ntyp = 3
/
ATOMIC_SPECIES
Pr 140.91 Pr.upf
Zr 91.22 Zr.upf
Al 26.98 Al.upf
CELL_PARAMETERS angstrom
-1.610 1.610 7.107
1.610 -1.610 7.107
1.610 1.610 -7.107
ATOMIC_POSITIONS angstrom
Pr 0.000 0.000 0.000
Zr 0.000 0.000 4.234
Al 0.000 0.000 9.461


Which one sits at the bottom of the stability order? x does.


## w
! PrZr2Al PBE relaxed; values from VASP
! Magnetization   0.0 μB per formula unit
! Space-group type   R-3m (166)
&SYSTEM
  ibrav = 0, nat = 4, ntyp = 3
/
ATOMIC_SPECIES
Pr 140.91 Pr.upf
Zr 91.22 Zr.upf
Al 26.98 Al.upf
CELL_PARAMETERS angstrom
1.588 0.917 11.148
-1.588 0.917 11.148
0.000 -1.833 11.148
ATOMIC_POSITIONS angstrom
Pr 0.000 0.000 0.000
Zr 0.000 0.000 3.195
Zr 0.000 0.000 30.250
Al 0.000 0.000 16.723


## x
! PrZr2Al PBE relaxed; values from VASP
! Magnetization   0.0 μB per formula unit
! Space-group type   P4/mmm (123)
&SYSTEM
  ibrav = 0, nat = 4, ntyp = 3
/
ATOMIC_SPECIES
Pr 140.91 Pr.upf
Zr 91.22 Zr.upf
Al 26.98 Al.upf
CELL_PARAMETERS angstrom
3.146 0.000 0.000
0.000 3.146 0.000
0.000 0.000 9.598
ATOMIC_POSITIONS angstrom
Pr 0.000 0.000 0.000
Zr 1.573 1.573 2.837
Zr 1.573 1.573 6.761
Al 0.000 0.000 4.799


## y
! PrZr2Al PBE relaxed; values from VASP
! Magnetization   0.0 μB per formula unit
! Space-group type   P4/mmm (123)
&SYSTEM
  ibrav = 0, nat = 4, ntyp = 3
/
ATOMIC_SPECIES
Pr 140.91 Pr.upf
Zr 91.22 Zr.upf
Al 26.98 Al.upf
CELL_PARAMETERS angstrom
4.586 0.000 0.000
0.000 4.586 0.000
0.000 0.000 4.495
ATOMIC_POSITIONS angstrom
Pr 0.000 0.000 0.000
Zr 0.000 2.293 2.248
Zr 2.293 0.000 2.248
Al 2.293 2.293 0.000


Which one sits at the bottom of the stability order? w does.


## w
! Al4Pt PBE relaxed; values from VASP
! Magnetization   0.0 μB per formula unit
! Space-group type   Im-3m (229)
&SYSTEM
  ibrav = 0, nat = 5, ntyp = 2
/
ATOMIC_SPECIES
Al 26.98 Al.upf
Pt 195.08 Pt.upf
CELL_PARAMETERS angstrom
-2.906 2.906 2.906
2.906 -2.906 2.906
2.906 2.906 -2.906
ATOMIC_POSITIONS angstrom
Al 1.453 1.453 -1.453
Al 1.453 -1.453 1.453
Al -1.453 1.453 1.453
Al 1.453 1.453 1.453
Pt 0.000 0.000 0.000


## x
! Al4Pt PBE relaxed; values from VASP
! Magnetization   0.0 μB per formula unit
! Space-group type   Pm-3m (221)
&SYSTEM
  ibrav = 0, nat = 5, ntyp = 2
/
ATOMIC_SPECIES
Al 26.98 Al.upf
Pt 195.08 Pt.upf
CELL_PARAMETERS angstrom
4.776 0.000 0.000
0.000 4.776 0.000
0.000 0.000 4.776
ATOMIC_POSITIONS angstrom
Al 0.000 0.000 0.000
Al 0.000 2.388 2.388
Al 2.388 0.000 2.388
Al 2.388 2.388 0.000
Pt 2.388 2.388 2.388


Which one sits at the bottom of the stability order? x does.


## w
! Al3Pt4 PBE relaxed; values from VASP
! Magnetization   0.0 μB per formula unit
! Space-group type   I4/mmm (139)
&SYSTEM
  ibrav = 0, nat = 7, ntyp = 2
/
ATOMIC_SPECIES
Al 26.98 Al.upf
Pt 195.08 Pt.upf
CELL_PARAMETERS angstrom
-1.636 1.636 10.024
1.636 -1.636 10.024
1.636 1.636 -10.024
ATOMIC_POSITIONS angstrom
Al 0.000 0.000 0.000
Al 0.000 0.000 5.835
Al 0.000 0.000 14.213
Pt 0.000 0.000 3.228
Pt 0.000 0.000 8.647
Pt 0.000 0.000 11.401
Pt 0.000 0.000 16.820


## x
! Al3Pt4 PBE relaxed; values from VASP
! Magnetization   0.0 μB per formula unit
! Space-group type   P-43m (215)
&SYSTEM
  ibrav = 0, nat = 7, ntyp = 2
/
ATOMIC_SPECIES
Al 26.98 Al.upf
Pt 195.08 Pt.upf
CELL_PARAMETERS angstrom
5.124 0.000 0.000
0.000 5.124 0.000
0.000 0.000 5.124
ATOMIC_POSITIONS angstrom
Al 0.000 0.000 2.562
Al 0.000 2.562 0.000
Al 2.562 0.000 0.000
Pt 1.567 1.567 1.567
Pt 1.567 3.557 3.557
Pt 3.557 1.567 3.557
Pt 3.557 3.557 1.567


Which one sits at the bottom of the stability order? x does.


## w
! RbAlZn2Pt PBE relaxed; values from VASP
! Magnetization   0.0 μB per formula unit
! Space-group type   P4/mmm (123)
&SYSTEM
  ibrav = 0, nat = 5, ntyp = 4
/
ATOMIC_SPECIES
Rb 85.47 Rb.upf
Al 26.98 Al.upf
Zn 65.41 Zn.upf
Pt 195.08 Pt.upf
CELL_PARAMETERS angstrom
5.037 0.000 0.000
0.000 5.037 0.000
0.000 0.000 4.805
ATOMIC_POSITIONS angstrom
Rb 0.000 0.000 0.000
Al 2.518 2.518 0.000
Zn 0.000 2.518 2.403
Zn 2.518 0.000 2.403
Pt 2.518 2.518 2.403


## x
! RbAlZn2Pt PBE relaxed; values from VASP
! Magnetization   0.0 μB per formula unit
! Space-group type   P4/mmm (123)
&SYSTEM
  ibrav = 0, nat = 5, ntyp = 4
/
ATOMIC_SPECIES
Rb 85.47 Rb.upf
Al 26.98 Al.upf
Zn 65.41 Zn.upf
Pt 195.08 Pt.upf
CELL_PARAMETERS angstrom
5.946 0.000 0.000
0.000 5.946 0.000
0.000 0.000 5.682
ATOMIC_POSITIONS angstrom
Rb 0.000 0.000 0.000
Al 2.973 2.973 2.841
Zn 0.000 2.973 0.000
Zn 2.973 0.000 0.000
Pt 0.000 0.000 2.841


Which one sits at the bottom of the stability order? x does.


## w
! AlRePt2 PBE relaxed; values from VASP
! Magnetization   0.0 μB per formula unit
! Space-group type   P4mm (99)
&SYSTEM
  ibrav = 0, nat = 4, ntyp = 3
/
ATOMIC_SPECIES
Al 26.98 Al.upf
Re 186.21 Re.upf
Pt 195.08 Pt.upf
CELL_PARAMETERS angstrom
2.826 0.000 0.000
0.000 2.826 0.000
0.000 0.000 7.531
ATOMIC_POSITIONS angstrom
Al 0.000 0.000 0.000
Re 1.413 1.413 5.616
Pt 0.000 0.000 3.828
Pt 1.413 1.413 1.653


## x
! AlRePt2 PBE relaxed; values from VASP
! Magnetization   1.3 μB per formula unit
! Space-group type   Fm-3m (225)
&SYSTEM
  ibrav = 0, nat = 4, ntyp = 3
/
ATOMIC_SPECIES
Al 26.98 Al.upf
Re 186.21 Re.upf
Pt 195.08 Pt.upf
CELL_PARAMETERS angstrom
0.000 3.141 3.141
3.141 0.000 3.141
3.141 3.141 0.000
ATOMIC_POSITIONS angstrom
Al 0.000 0.000 0.000
Re 3.141 3.141 3.141
Pt 1.571 1.571 1.571
Pt 4.712 4.712 4.712


Which one sits at the bottom of the stability order? x does.


## w
! AlRePt2 PBE relaxed; values from VASP
! Magnetization   0.0 μB per formula unit
! Space-group type   Cm (8)
&SYSTEM
  ibrav = 0, nat = 4, ntyp = 3
/
ATOMIC_SPECIES
Al 26.98 Al.upf
Re 186.21 Re.upf
Pt 195.08 Pt.upf
CELL_PARAMETERS angstrom
4.603 -1.374 0.000
4.603 1.374 0.000
-1.107 0.000 4.759
ATOMIC_POSITIONS angstrom
Al 0.000 0.000 0.000
Re 6.409 0.000 1.425
Pt 1.512 0.000 3.837
Pt 3.937 0.000 2.387


## x
! AlRePt2 PBE relaxed; values from VASP
! Magnetization   0.0 μB per formula unit
! Space-group type   C2/m (12)
&SYSTEM
  ibrav = 0, nat = 4, ntyp = 3
/
ATOMIC_SPECIES
Al 26.98 Al.upf
Re 186.21 Re.upf
Pt 195.08 Pt.upf
CELL_PARAMETERS angstrom
4.534 -1.394 0.000
4.534 1.394 0.000
-0.799 0.000 4.770
ATOMIC_POSITIONS angstrom
Al 0.000 0.000 0.000
Re 4.134 0.000 2.385
Pt 1.685 0.000 3.565
Pt 6.583 0.000 1.205


Which one sits at the bottom of the stability order? x does.


## w
! AlRePt2 PBE relaxed; values from VASP
! Magnetization   0.0 μB per formula unit
! Space-group type   R-3m (166)
&SYSTEM
  ibrav = 0, nat = 4, ntyp = 3
/
ATOMIC_SPECIES
Al 26.98 Al.upf
Re 186.21 Re.upf
Pt 195.08 Pt.upf
CELL_PARAMETERS angstrom
1.411 0.815 8.680
-1.411 0.815 8.680
0.000 -1.629 8.680
ATOMIC_POSITIONS angstrom
Al 0.000 0.000 0.000
Re 0.000 0.000 13.020
Pt 0.000 0.000 6.619
Pt 0.000 0.000 19.421


## x
! AlRePt2 PBE relaxed; values from VASP
! Magnetization   0.0 μB per formula unit
! Space-group type   Imm2 (44)
&SYSTEM
  ibrav = 0, nat = 4, ntyp = 3
/
ATOMIC_SPECIES
Al 26.98 Al.upf
Re 186.21 Re.upf
Pt 195.08 Pt.upf
CELL_PARAMETERS angstrom
-1.393 2.270 4.806
1.393 -2.270 4.806
1.393 2.270 -4.806
ATOMIC_POSITIONS angstrom
Al 0.000 0.000 0.000
Re 0.000 2.270 2.628
Pt 1.393 0.000 2.088
Pt 0.000 0.000 4.907


## y
! AlRePt2 PBE relaxed; values from VASP
! Magnetization   0.0 μB per formula unit
! Space-group type   P4/mmm (123)
&SYSTEM
  ibrav = 0, nat = 4, ntyp = 3
/
ATOMIC_SPECIES
Al 26.98 Al.upf
Re 186.21 Re.upf
Pt 195.08 Pt.upf
CELL_PARAMETERS angstrom
2.772 0.000 0.000
0.000 2.772 0.000
0.000 0.000 7.726
ATOMIC_POSITIONS angstrom
Al 0.000 0.000 0.000
Re 0.000 0.000 3.863
Pt 1.386 1.386 1.854
Pt 1.386 1.386 5.872


Which one sits at the bottom of the stability order? x does.


## w
! AlRePt2 PBE relaxed; values from VASP
! Magnetization   0.0 μB per formula unit
! Space-group type   Pmmm (47)
&SYSTEM
  ibrav = 0, nat = 4, ntyp = 3
/
ATOMIC_SPECIES
Al 26.98 Al.upf
Re 186.21 Re.upf
Pt 195.08 Pt.upf
CELL_PARAMETERS angstrom
3.843 0.000 0.000
0.000 3.856 0.000
0.000 0.000 4.048
ATOMIC_POSITIONS angstrom
Al 0.000 0.000 0.000
Re 1.921 1.928 0.000
Pt 0.000 1.928 2.024
Pt 1.921 0.000 2.024


## x
! AlRePt2 PBE relaxed; values from VASP
! Magnetization   0.3 μB per formula unit
! Space-group type   I-42d (122)
&SYSTEM
  ibrav = 0, nat = 8, ntyp = 3
/
ATOMIC_SPECIES
Al 26.98 Al.upf
Re 186.21 Re.upf
Pt 195.08 Pt.upf
CELL_PARAMETERS angstrom
-1.925 1.925 8.915
1.925 -1.925 8.915
1.925 1.925 -8.915
ATOMIC_POSITIONS angstrom
Al 0.000 0.000 0.000
Al 0.000 1.925 4.458
Re 1.925 0.000 4.458
Re 0.000 0.000 8.915
Pt 2.887 0.954 -2.229
Pt 0.954 0.962 2.229
Pt -0.962 0.971 6.687
Pt 0.971 0.962 11.144


Which one sits at the bottom of the stability order? x does.


## w
! AlRePt2 PBE relaxed; values from VASP
! Magnetization   0.0 μB per formula unit
! Space-group type   P2/m (10)
&SYSTEM
  ibrav = 0, nat = 4, ntyp = 3
/
ATOMIC_SPECIES
Al 26.98 Al.upf
Re 186.21 Re.upf
Pt 195.08 Pt.upf
CELL_PARAMETERS angstrom
2.774 0.000 0.000
0.000 3.971 0.000
-0.019 0.000 5.444
ATOMIC_POSITIONS angstrom
Al 0.000 0.000 0.000
Re -0.009 0.000 2.722
Pt 1.376 1.985 1.373
Pt 1.379 1.985 4.072


## x
! AlRePt2 PBE relaxed; values from VASP
! Magnetization   0.0 μB per formula unit
! Space-group type   I-4m2 (119)
&SYSTEM
  ibrav = 0, nat = 4, ntyp = 3
/
ATOMIC_SPECIES
Al 26.98 Al.upf
Re 186.21 Re.upf
Pt 195.08 Pt.upf
CELL_PARAMETERS angstrom
-1.985 1.985 3.809
1.985 -1.985 3.809
1.985 1.985 -3.809
ATOMIC_POSITIONS angstrom
Al 0.000 0.000 0.000
Re 0.000 1.985 1.905
Pt 1.985 0.000 1.905
Pt 0.000 0.000 3.809


Which one sits at the bottom of the stability order? x does.